Entry from Alexandria via LeMat-Bulk: an optimized crystal structure of Y2ScZn (GGA-PBE).

a b c (Å): 4.515 4.727 4.727
angles (deg): 90.00 90.00 90.00
Site moments in Bohr magnetons follow the coordinates.
Fractional coordinates of all 4 atoms:
Y  0.000  0.500  0.500  0.11
Y  0.000  0.000  0.000  0.11
Zn  0.500  0.500  0.000  0.00
Sc  0.500  0.000  0.500  0.20

Computed properties:
energy of formation: -0.0416 eV per atom
energy: -5.175 eV/atom
size of the total moment: 0.64 Bohr magnetons per cell


Entry from Alexandria via LeMat-Bulk: an optimized crystal structure of YScZn3 (GGA-PBE).

a b c (Å): 5.209 5.209 5.209
angles (deg): 90.00 90.00 90.00
Fractional coordinates of all 5 atoms:
Zn  0.000  0.000  0.500
Zn  0.500  0.000  0.000
Zn  0.000  0.500  0.000
Y  0.000  0.000  0.000
Sc  0.500  0.500  0.500

Computed properties:
energy of formation: 0.8089 eV per atom
energy: -2.515 eV/atom
size of the total moment: 0.00 Bohr magnetons per cell
excess energy over the best structure of this formula in the dataset: 1121 meV per atom


Entry from Alexandria via LeMat-Bulk: an optimized crystal structure of YScZn (GGA-PBE).

a b c (Å): 6.429 4.849 4.912
angles (deg): 90.00 90.00 67.83
Fractional coordinates of all 6 atoms:
Sc  0.152  0.225  0.316
Sc  0.582  0.010  0.816
Zn  0.874  0.864  0.316
Zn  0.860  0.371  0.816
Y  0.574  0.514  0.316
Y  0.160  0.721  0.816

Computed properties:
energy of formation: -0.2045 eV per atom
energy: -4.894 eV/atom
size of the total moment: 0.00 Bohr magnetons per cell
excess energy over the best structure of this formula in the dataset: 51 meV per atom


Entry from Alexandria via LeMat-Bulk: an optimized crystal structure of YScZn (GGA-PBE).

a b c (Å): 4.773 4.773 4.773
angles (deg): 60.00 60.00 60.00
Fractional coordinates of all 3 atoms:
Zn  0.750  0.750  0.750
Sc  0.000  0.000  0.000
Y  0.250  0.250  0.250

Computed properties:
energy of formation: 0.5223 eV per atom
energy: -4.168 eV/atom
size of the total moment: 0.00 Bohr magnetons per cell
excess energy over the best structure of this formula in the dataset: 777 meV per atom


| no. | N(E_F) (states/eV per atom) |
| --- | --- |
| 1 | 1.46 |
| 2 | 1.28 |
| 3 | 0.91 |
| 4 | 0.53 |